(1)
# YScHg2 PBE-GGA optimized geometry
data_YScHg2
_chemical_formula_sum 'Y2 Sc2 Hg4'
_cell_length_a 3.335
_cell_length_b 5.697
_cell_length_c 12.204
_cell_angle_alpha 90.00
_cell_angle_beta 90.00
_cell_angle_gamma 90.00
_symmetry_space_group_name_H-M 'I m m m'
_symmetry_Int_Tables_number 71
_symmetry_space_group_name_Hall '-I 2 2'
loop_
_atom_site_label
_atom_site_type_symbol
_atom_site_fract_x
_atom_site_fract_y
_atom_site_fract_z
Y1 Y 0.000 0.000 0.000
Sc1 Sc 0.000 0.000 0.500
Hg1 Hg 0.000 0.000 0.260
# volume: 29.0 A^3/atom
# D(E_F): 11.63 states/eV per cell
# E_form: 0.274 eV/atom
# electronic total energy: -24.60 eV/cell
# offset from the most stable computed form: 0.740 eV/atom
# spin magnetization: 0.000 μB/f.u.

=====

(2)
# IrWS2 PBE-GGA optimized geometry
data_IrWS2
_chemical_formula_sum 'Ir4 W4 S8'
_cell_length_a 6.056
_cell_length_b 6.056
_cell_length_c 6.056
_cell_angle_alpha 90.00
_cell_angle_beta 90.00
_cell_angle_gamma 90.00
_symmetry_space_group_name_H-M 'F m -3 m'
_symmetry_Int_Tables_number 225
_symmetry_space_group_name_Hall '-F 4 2 3'
loop_
_atom_site_label
_atom_site_type_symbol
_atom_site_fract_x
_atom_site_fract_y
_atom_site_fract_z
Ir1 Ir 0.000 0.000 0.000
W1 W 0.000 0.000 0.500
S1 S 0.250 0.250 0.250
# volume: 13.9 A^3/atom
# D(E_F): 10.03 states/eV per cell
# electronic total energy: -114.59 eV/cell
# offset from the most stable computed form: 0.523 eV/atom
# ΔE_f (raw): 8.2 kcal/mol of atoms
# spin magnetization: 0.000 μB/f.u.

=====

(3)
# SrTaRe PBE-GGA optimized geometry
data_SrTaRe
_chemical_formula_sum 'Sr2 Ta2 Re2'
_cell_length_a 3.353
_cell_length_b 3.353
_cell_length_c 12.721
_cell_angle_alpha 90.00
_cell_angle_beta 90.00
_cell_angle_gamma 90.00
_symmetry_space_group_name_H-M 'I 4 m m'
_symmetry_Int_Tables_number 107
_symmetry_space_group_name_Hall 'I 4 -2'
loop_
_atom_site_label
_atom_site_type_symbol
_atom_site_fract_x
_atom_site_fract_y
_atom_site_fract_z
Sr1 Sr 0.000 0.000 0.000
Ta1 Ta 0.000 0.000 0.725
Re1 Re 0.000 0.000 0.315
# volume: 23.8 A^3/atom
# D(E_F): 4.21 states/eV per cell
# E_form: 0.477 eV/atom
# electronic total energy: -49.10 eV/cell
# offset from the most stable computed form: 0.000 eV/atom
# spin magnetization: 0.000 μB/f.u.

=====

(4)
# Na2HgBr2F2 PBE-GGA optimized geometry
data_Na2HgBr2F2
_chemical_formula_sum 'Na4 Hg2 Br4 F4'
_cell_length_a 13.204
_cell_length_b 4.012
_cell_length_c 6.958
_cell_angle_alpha 90.00
_cell_angle_beta 117.43
_cell_angle_gamma 90.00
_symmetry_space_group_name_H-M 'C 1 2/m 1'
_symmetry_Int_Tables_number 12
_symmetry_space_group_name_Hall '-C 2y'
loop_
_atom_site_label
_atom_site_type_symbol
_atom_site_fract_x
_atom_site_fract_y
_atom_site_fract_z
Na1 Na 0.236 0.000 0.176
Hg1 Hg 0.000 0.000 0.500
Br1 Br 0.086 0.500 0.329
F1 F 0.182 0.000 0.816
# volume: 23.4 A^3/atom
# D(E_F): 0.00 states/eV per cell
# electronic total energy: -43.16 eV/cell
# ΔE_f (raw): -38.1 kcal/mol of atoms
# spin magnetization: 0.000 μB/f.u.